Here is SrRe2W at its PBEsol-relaxed geometry from Alexandria via LeMat-Bulk. Energies are from SCAN.

The structure in POSCAR format:
```
SrRe2W
1.0
2.988 0.000 0.000
0.000 5.065 0.000
-1.494 -2.533 4.796
W Sr Re
1 1 2
Cartesian
1.494 0.000 0.000
0.000 2.533 0.000
0.000 0.000 2.106
1.494 2.533 2.690
```

Values from the calculation:
- ΔH_f (0 K): 1092 meV per atom
- E above lowest polymorph: 0.297 eV per atom
- Symmetry: Immm
- Size of the total moment: 0.00 μB per atom

---

Here is KTlAs2 at its PBEsol-relaxed geometry from Alexandria via LeMat-Bulk. Energies are from SCAN.

The structure in POSCAR format:
```
KTlAs2
1.0
-1.953 1.961 2.354
-3.718 -1.862 -4.336
0.744 -4.574 4.428
Tl As K
1 2 1
Cartesian
-0.976 0.981 1.177
-2.620 -3.413 3.475
-2.307 -1.061 -1.029
0.372 -2.287 2.214
```

Values from the calculation:
- ΔH_f (0 K): -243 meV per atom
- E above lowest polymorph: 0.055 eV per atom
- Symmetry: C2/m
- Size of the total moment: 0.00 μB per atom

---

Here is Li4Sb2H6O3F10 at its PBEsol-relaxed geometry from Alexandria via LeMat-Bulk. Energies are from SCAN.

The structure in POSCAR format:
```
Li4Sb2H6O3F10
1.0
5.381 -0.012 0.000
-0.019 5.632 0.000
0.000 0.000 16.143
H F O Li Sb
12 20 6 8 4
Cartesian
0.763 1.517 3.248
4.138 4.799 3.240
1.621 2.894 12.107
4.599 4.102 12.895
0.763 1.517 4.824
4.138 4.799 4.831
2.663 4.134 12.107
1.224 0.820 12.903
3.740 2.725 4.036
4.599 4.102 11.320
2.698 1.485 4.036
1.224 0.820 11.312
0.777 4.109 7.908
2.381 2.330 14.867
3.175 5.126 9.343
2.981 3.289 1.276
5.020 3.158 14.157
0.777 4.109 0.164
4.863 5.370 6.132
0.499 0.249 10.011
0.341 2.461 1.986
4.863 5.370 1.939
2.981 3.289 6.796
2.187 0.493 1.271
0.499 0.249 14.204
3.175 5.126 14.872
0.341 2.461 6.085
4.584 1.510 8.235
2.381 2.330 9.347
5.020 3.158 10.058
2.187 0.493 6.800
4.584 1.510 15.980
1.188 1.077 4.036
1.674 3.903 12.107
4.173 4.542 12.107
3.749 4.338 4.036
1.613 1.281 12.107
3.688 1.716 4.036
1.409 4.114 9.938
1.200 1.778 7.872
1.200 1.778 0.200
3.953 1.505 6.205
4.162 3.841 8.271
4.162 3.841 15.943
1.409 4.114 14.277
3.953 1.505 1.866
4.007 1.224 10.140
1.355 4.395 6.003
1.355 4.395 2.068
4.007 1.224 14.075
```

Values from the calculation:
- Symmetry: P2_1/m
- Size of the total moment: 0.00 μB per atom

---

Here is BaScAl at its PBEsol-relaxed geometry from Alexandria via LeMat-Bulk. Energies are from SCAN.

The structure in POSCAR format:
```
BaScAl
1.0
-3.330 0.509 -1.151
0.870 -3.033 1.648
-1.937 3.279 7.055
Al Ba Sc
1 1 1
Cartesian
-0.053 0.089 0.192
-3.273 1.601 4.673
-1.071 -0.936 2.687
```

Values from the calculation:
- ΔH_f (0 K): 239 meV per atom
- E above lowest polymorph: 0.095 eV per atom
- Symmetry: P3m1
- Size of the total moment: 0.18 μB per atom

---

Calculated uncorrected energy in order - -57.45; -30.51; -8.49; -20.27 eV per atom